No. 1
## TaSiPt2 (PBE)

Data for a relaxed TaSiPt2 crystal.

Uncorrected energy = -7.504 eV per atom
Magnetic moment = 0.00 μB/f.u.
Formation energy (no corrections) = -16 kJ per mole of atoms

Cell lengths 4.5092, 4.5092, 3.1850 Å; angles 90.00, 90.00, 90.00 degrees
Last column: nearest neighbours and their distance in Å.
Space group P4/mmm (No. 123)
Inequivalent atoms, fractional coordinates:
Ta 0.0000 0.0000 0.0000 (multiplicity 1)  8 Pt 2.76
Si 0.5000 0.5000 0.0000 (multiplicity 1)  8 Pt 2.76
Pt 0.0000 0.5000 0.5000 (multiplicity 2)  4 Ta 2.76, 4 Si 2.76

=====

No. 2
## TaSiPt (PBE)

Data for a relaxed TaSiPt crystal.

Uncorrected energy = -8.492 eV per atom
Magnetic moment = 0.00 μB/f.u.
Formation energy (no corrections) = -69 kJ per mole of atoms

Cell lengths 6.4524, 3.8372, 7.4417 Å; angles 90.00, 90.00, 90.00 degrees
Last column: nearest neighbours and their distance in Å.
Space group Pnma (No. 62)
Inequivalent atoms, fractional coordinates:
Ta 0.0251 0.2500 0.1633 (multiplicity 4)  5 Si 2.66-2.81, 3 Pt 2.91-2.96
Si 0.2301 0.7500 0.3749 (multiplicity 4)  4 Pt 2.40-2.51, 1 Ta 2.66
Pt 0.1537 0.2500 0.5692 (multiplicity 4)  4 Si 2.40-2.51

=====

No. 3
## Ta2SiPt (PBE)

Data for a relaxed Ta2SiPt crystal.

Uncorrected energy = -9.251 eV per atom
Magnetic moment = 0.00 μB/f.u.
Formation energy (no corrections) = -44 kJ per mole of atoms

Cell lengths 2.8485, 4.1248, 5.4549 Å; angles 90.00, 90.00, 90.00 degrees
Last column: nearest neighbours and their distance in Å.
Space group Pmmm (No. 47)
Inequivalent atoms, fractional coordinates:
Ta 0.0000 0.0000 0.2439 (multiplicity 2)  4 Ta 2.66-2.85, 4 Si 2.84, 4 Pt 2.87
Si 0.5000 0.5000 0.0000 (multiplicity 1)  2 Pt 2.73, 8 Ta 2.84, 2 Si 2.85
Pt 0.5000 0.5000 0.5000 (multiplicity 1)  2 Si 2.73, 2 Pt 2.85, 8 Ta 2.87

=====

No. 4
## TaSiPt (PBE)

Data for a relaxed TaSiPt crystal.

Uncorrected energy = -8.095 eV per atom
Magnetic moment = 0.00 μB/f.u.
Formation energy (no corrections) = -31 kJ per mole of atoms

Cell lengths 6.0019, 6.0019, 6.0019 Å; angles 90.00, 90.00, 90.00 degrees
Last column: nearest neighbours and their distance in Å.
Space group F-43m (No. 216)
Inequivalent atoms, fractional coordinates:
Ta 0.0000 0.0000 0.0000 (multiplicity 4)  4 Pt 2.60
Si 0.0000 0.0000 0.5000 (multiplicity 4)  4 Pt 2.60
Pt 0.2500 0.2500 0.2500 (multiplicity 4)  4 Ta 2.60, 4 Si 2.60

=====

No. 5
## TaSiPt (PBE)

Data for a relaxed TaSiPt crystal.

Uncorrected energy = -8.208 eV per atom
Magnetic moment = 0.00 μB/f.u.
Formation energy (no corrections) = -42 kJ per mole of atoms

Cell lengths 4.2149, 4.2246, 10.3287 Å; angles 90.00, 90.00, 90.00 degrees
Last column: nearest neighbours and their distance in Å.
Space group Fmm2 (No. 42)
Inequivalent atoms, fractional coordinates:
Ta 0.0000 0.0000 0.0000 (multiplicity 4)  4 Si 2.73, 4 Pt 2.93, 4 Ta 2.98
Si 0.0000 0.0000 0.3327 (multiplicity 4)  4 Pt 2.53-2.54, 4 Ta 2.73
Pt 0.0000 0.0000 0.6969 (multiplicity 4)  4 Si 2.53-2.54

=====

No. 6
## Ta2SiPt (PBE)

Data for a relaxed Ta2SiPt crystal.

Uncorrected energy = -9.100 eV per atom
Magnetic moment = 0.00 μB/f.u.
Formation energy (no corrections) = -30 kJ per mole of atoms

Cell lengths 2.8561, 2.8561, 7.9063 Å; angles 90.00, 90.00, 90.00 degrees
Last column: nearest neighbours and their distance in Å.
Space group P4mm (No. 99)
Inequivalent atoms, fractional coordinates:
Ta 0.0000 0.0000 0.0000 (multiplicity 1)  4 Si 2.75, 8 Ta 2.86-3.04
Ta 0.5000 0.5000 0.2880 (multiplicity 1)  8 Ta 2.86-3.04, 4 Pt 2.95
Si 0.5000 0.5000 0.7640 (multiplicity 1)  4 Pt 2.59, 4 Ta 2.75, 4 Si 2.86
Pt 0.0000 0.0000 0.5592 (multiplicity 1)  4 Si 2.59, 4 Pt 2.86

=====

No. 7
## TaSiPt2 (PBE)

Data for a relaxed TaSiPt2 crystal.

Uncorrected energy = -7.882 eV per atom
Magnetic moment = 0.00 μB/f.u.
Formation energy (no corrections) = -52 kJ per mole of atoms

Cell lengths 10.3631, 2.8763, 4.6812 Å; angles 90.00, 116.32, 90.00 degrees
Last column: nearest neighbours and their distance in Å.
Space group Cm (No. 8)
Inequivalent atoms, fractional coordinates:
Ta 0.0000 0.0000 0.0000 (multiplicity 2)  2 Si 2.61, 6 Pt 2.80-2.92, 2 Ta 2.88
Si 0.2322 0.5000 0.1637 (multiplicity 2)  4 Pt 2.42-2.56, 2 Ta 2.61
Pt 0.2273 0.0000 0.7071 (multiplicity 2)  2 Si 2.56
Pt 0.4385 0.0000 0.4382 (multiplicity 2)  2 Si 2.42

=====

No. 8
## TaSiPt2 (PBE)

Data for a relaxed TaSiPt2 crystal.

Uncorrected energy = -7.722 eV per atom
Magnetic moment = 0.00 μB/f.u.
Formation energy (no corrections) = -37 kJ per mole of atoms

Cell lengths 2.8750, 2.8750, 26.0902 Å; angles 90.00, 90.00, 120.00 degrees
Last column: nearest neighbours and their distance in Å.
Space group R-3m (No. 166, hexagonal axes)
Inequivalent atoms, fractional coordinates:
Ta 0.0000 0.0000 0.0000 (multiplicity 3)  6 Ta 2.87, 6 Pt 2.90
Si 0.0000 0.0000 0.5000 (multiplicity 3)  6 Pt 2.58, 6 Si 2.87
Pt 0.0000 0.0000 0.2424 (multiplicity 6)  3 Si 2.58, 6 Pt 2.87

=====

No. 9
## Ta2Si2Pt (PBE)

Data for a relaxed Ta2Si2Pt crystal.

Uncorrected energy = -8.664 eV per atom
Magnetic moment = 0.00 μB/f.u.
Formation energy (no corrections) = -53 kJ per mole of atoms

Cell lengths 6.3764, 6.3764, 3.7510 Å; angles 90.00, 90.00, 90.00 degrees
Last column: nearest neighbours and their distance in Å.
Space group P4/mbm (No. 127)
Inequivalent atoms, fractional coordinates:
Ta 0.1706 0.3294 0.0000 (multiplicity 4)  6 Si 2.61-2.69
Si 0.1286 0.6286 0.5000 (multiplicity 4)  1 Si 2.32, 2 Pt 2.51
Pt 0.0000 0.0000 0.5000 (multiplicity 2)  4 Si 2.51

=====

No. 10
## Ta2SiPt (PBE)

Data for a relaxed Ta2SiPt crystal.

Uncorrected energy = -9.262 eV per atom
Magnetic moment = 0.00 μB/f.u.
Formation energy (no corrections) = -45 kJ per mole of atoms

Cell lengths 3.9135, 4.1877, 7.7428 Å; angles 90.00, 90.00, 90.00 degrees
Last column: nearest neighbours and their distance in Å.
Space group Cmmm (No. 65)
Inequivalent atoms, fractional coordinates:
Ta 0.0000 0.0000 0.2357 (multiplicity 4)  4 Si 2.68-2.78, 4 Pt 2.83-2.93, 4 Ta 2.87
Si 0.0000 0.5000 0.0000 (multiplicity 2)  8 Ta 2.68-2.78, 4 Si 2.87
Pt 0.0000 0.5000 0.5000 (multiplicity 2)  8 Ta 2.83-2.93, 4 Pt 2.87

=====

No. 11
## Ta2SiPt (PBE)

Data for a relaxed Ta2SiPt crystal.

Uncorrected energy = -9.302 eV per atom
Magnetic moment = 0.00 μB/f.u.
Formation energy (no corrections) = -49 kJ per mole of atoms

Cell lengths 2.9309, 4.0629, 5.6418 Å; angles 90.00, 104.94, 90.00 degrees
Last column: nearest neighbours and their distance in Å.
Space group Pm (No. 6)
Inequivalent atoms, fractional coordinates:
Ta 0.0000 0.0000 0.0000 (multiplicity 1)  3 Si 2.75-3.07, 4 Pt 2.79-2.80, 6 Ta 2.93-3.03
Ta 0.3422 0.5000 0.6903 (multiplicity 1)  4 Si 2.72, 3 Pt 2.92-2.93, 6 Ta 2.93-3.03
Si 0.7456 0.0000 0.4954 (multiplicity 1)  2 Pt 2.50, 5 Ta 2.72-2.75
Pt 0.6134 0.5000 0.2272 (multiplicity 1)  2 Si 2.50, 4 Ta 2.79-2.80

=====

No. 12
## Tb2TaSi3Pt4 (PBE)

Data for a relaxed Tb2TaSi3Pt4 crystal.

Uncorrected energy = -7.155 eV per atom
Magnetic moment = 0.00 μB/f.u.
Formation energy (no corrections) = -96 kJ per mole of atoms

Cell lengths 4.1677, 4.1677, 10.4839 Å; angles 90.00, 90.00, 90.00 degrees
Last column: nearest neighbours and their distance in Å.
Space group P-4m2 (No. 115)
Inequivalent atoms, fractional coordinates:
Tb 0.0000 0.5000 0.2371 (multiplicity 2)  6 Si 3.14-3.46, 8 Pt 3.21-3.24, 2 Ta 3.46
Ta 0.0000 0.0000 0.5000 (multiplicity 1)  4 Pt 2.56
Si 0.0000 0.5000 0.8671 (multiplicity 2)  5 Pt 2.36-2.51
Si 0.5000 0.5000 0.5000 (multiplicity 1)  4 Pt 2.56
Pt 0.0000 0.0000 0.0000 (multiplicity 1)  4 Si 2.51
Pt 0.0000 0.5000 0.6415 (multiplicity 2)  3 Si 2.36-2.56, 2 Ta 2.56
Pt 0.5000 0.5000 0.0000 (multiplicity 1)  4 Si 2.51

=====

No. 13
## TaTl2SiPt (PBE)

Data for a relaxed TaTl2SiPt crystal.

Uncorrected energy = -4.430 eV per atom
Magnetic moment = 0.00 μB/f.u.
Formation energy (no corrections) = 114 kJ per mole of atoms

Cell lengths 5.4226, 5.4226, 4.8313 Å; angles 90.00, 90.00, 90.00 degrees
Last column: nearest neighbours and their distance in Å.
Space group P4/mmm (No. 123)
Inequivalent atoms, fractional coordinates:
Ta 0.0000 0.0000 0.0000 (multiplicity 1)  2 Si 2.42
Tl 0.0000 0.5000 0.0000 (multiplicity 2)  2 Ta 2.71
Si 0.0000 0.0000 0.5000 (multiplicity 1)  2 Ta 2.42
Pt 0.5000 0.5000 0.5000 (multiplicity 1)  8 Tl 3.63, 4 Si 3.83

=====

No. 14
## Tm2TaSi4Pt3 (PBE)

Data for a relaxed Tm2TaSi4Pt3 crystal.

Uncorrected energy = -6.983 eV per atom
Magnetic moment = 0.00 μB/f.u.
Formation energy (no corrections) = -89 kJ per mole of atoms

Cell lengths 4.1226, 4.1226, 10.3810 Å; angles 90.00, 90.00, 90.00 degrees
Last column: nearest neighbours and their distance in Å.
Space group P-4m2 (No. 115)
Inequivalent atoms, fractional coordinates:
Tm 0.0000 0.5000 0.2417 (multiplicity 2)  8 Si 3.14-3.25, 6 Pt 3.16-3.38, 2 Ta 3.38
Ta 0.0000 0.0000 0.5000 (multiplicity 1)  4 Si 2.56
Si 0.0000 0.0000 0.0000 (multiplicity 1)  4 Pt 2.43
Si 0.0000 0.5000 0.6468 (multiplicity 2)  3 Pt 2.39-2.56, 2 Ta 2.56
Si 0.5000 0.5000 0.0000 (multiplicity 1)  4 Pt 2.43
Pt 0.0000 0.5000 0.8766 (multiplicity 2)  5 Si 2.39-2.43
Pt 0.5000 0.5000 0.5000 (multiplicity 1)  4 Si 2.56